DFT (SCAN) results for a PBEsol-optimized structure of Rb2MoI6O18.

The raw formation energy is -798 meV per atom. Its total energy is -15.95 eV per atom.

The structure belongs to space group R-3 (No. 148, hexagonal axes); the cell edges are 11.4049, 11.4049 and 11.2354 Å and the angles 90.00°, 90.00° and 120.00°. The inequivalent atoms are Rb at (0.0000, 0.0000, 0.1682), Mo at (0.0000, 0.0000, 0.5000), I at (0.0167, 0.3991, 0.2774), O at (0.0452, 0.5773, 0.8667), O at (0.0683, 0.5413, 0.6230) and O at (0.0694, 0.1600, 0.6054).

---

DFT (SCAN) results for a PBEsol-optimized structure of NaCaRe3.

Its total energy is -42.00 eV per atom.

The structure belongs to space group Pm-3m (No. 221); the cell edges are 4.651, 4.651 and 4.651 Å and the angles 90.00°, 90.00° and 90.00°. The inequivalent atoms are Na at (0.000, 0.000, 0.000), Ca at (0.500, 0.500, 0.500) and Re at (0.000, 0.500, 0.500).

---

DFT (SCAN) results for a PBEsol-optimized structure of NbNiSN2.

The raw formation energy is 766 meV per atom. Its total energy is -14.74 eV per atom.

The structure belongs to space group P4/mmm (No. 123); the cell edges are 3.684, 3.684 and 4.199 Å and the angles 90.00°, 90.00° and 90.00°. The inequivalent atoms are Nb at (0.000, 0.000, 0.000), Ni at (0.500, 0.500, 0.500), S at (0.500, 0.500, 0.000) and N at (0.000, 0.500, 0.500).

---

DFT (SCAN) results for a PBEsol-optimized structure of CrCoSb2.

The raw formation energy is 439 meV per atom. Its total energy is -27.11 eV per atom.

The structure belongs to space group Fm-3m (No. 225); the cell edges are 6.328, 6.328 and 6.328 Å and the angles 90.00°, 90.00° and 90.00°. The inequivalent atoms are Cr at (0.000, 0.000, 0.000), Co at (0.000, 0.000, 0.500) and Sb at (0.250, 0.250, 0.250).